1.
This record from the Alexandria database describes an optimized crystal structure of TiNiBRu2. The functional is GGA-PBE.

Cell: 4.0940 4.0940 3.7795 Å, 90.00 90.00 90.00°
With the nearest neighbours (Å) after each atom.
Sites, in units of the cell vectors:
Ru1 0.0000 0.5000 0.0000  2 B 2.05
Ru2 0.5000 0.0000 0.0000  2 B 2.05
B1 0.0000 0.0000 0.0000  2 Ni 1.89, 4 Ru 2.05
Ti1 0.5000 0.5000 0.5000  8 Ru 2.79, 4 Ni 2.89
Ni1 0.0000 0.0000 0.5000  2 B 1.89

Output
Space-group type = P4/mmm (123)
Formation energy = -344 meV per atom

2.
This record from the Alexandria database describes an optimized crystal structure of SrLaTh. The functional is GGA-PBE.

Cell: 3.6799 3.6799 9.1342 Å, 101.62 101.62 90.00°
With the nearest neighbours (Å) after each atom.
Sites, in units of the cell vectors:
Sr1 0.9941 0.9941 0.9882  4 Sr 3.68, 4 Th 3.99
Th1 0.3216 0.3216 0.6431  4 La 3.54, 4 Th 3.68
La1 0.6844 0.6844 0.3687  4 Th 3.54, 4 La 3.68

Output
Space-group type = I4mm (107)
Polymorph energy (0 for the lowest one) = 0.0 meV/atom
Formation energy = 163 meV per atom

3.
This record from the Alexandria database describes an optimized crystal structure of TeAu2Br. The functional is GGA-PBE.

Cell: 3.8109 3.8576 7.2698 Å, 90.00 90.00 90.00°
With the nearest neighbours (Å) after each atom.
Sites, in units of the cell vectors:
Te1 0.5000 0.5000 0.8690  5 Au 2.64-2.82
Au1 0.0000 0.0000 0.9746  4 Te 2.82
Au2 0.5000 0.5000 0.2316  1 Te 2.64
Br1 0.0000 0.0000 0.4248  5 Au 3.05-3.27

Output
Space-group type = Pmm2 (25)
Polymorph energy (0 for the lowest one) = 139.0 meV/atom